Entry 1:
# YTi3Te PBE optimized geometry
data_YTi3Te
_chemical_formula_sum 'Y1 Ti3 Te1'
_cell_length_a 4.966
_cell_length_b 4.966
_cell_length_c 4.966
_cell_angle_alpha 90.00
_cell_angle_beta 90.00
_cell_angle_gamma 90.00
_symmetry_space_group_name_H-M 'P 1'
_symmetry_Int_Tables_number 1
loop_
_symmetry_equiv_pos_as_xyz
'x,y,z'
loop_
_atom_site_label
_atom_site_type_symbol
_atom_site_fract_x
_atom_site_fract_y
_atom_site_fract_z
_atom_site_occupancy
Ti1 Ti 0.500 0.000 0.000 1
Ti2 Ti 0.000 0.500 0.000 1
Y1 Y 0.000 0.000 0.000 1
Ti3 Ti 0.000 0.000 0.500 1
Te1 Te 0.500 0.500 0.500 1
# Energy relative to the elements, uncorrected = 1.3264 eV/atom
# Energy relative to the lowest polymorph listed for this composition = 910 meV/atom

***

Entry 2:
# Mg2ZrFe PBE optimized geometry
data_Mg2ZrFe
_chemical_formula_sum 'Mg2 Zr1 Fe1'
_cell_length_a 5.504
_cell_length_b 5.504
_cell_length_c 5.504
_cell_angle_alpha 138.00
_cell_angle_beta 138.00
_cell_angle_gamma 60.90
_symmetry_space_group_name_H-M 'P 1'
_symmetry_Int_Tables_number 1
loop_
_symmetry_equiv_pos_as_xyz
'x,y,z'
loop_
_atom_site_label
_atom_site_type_symbol
_atom_site_fract_x
_atom_site_fract_y
_atom_site_fract_z
_atom_site_occupancy
Mg1 Mg 0.500 0.500 0.000 1
Zr1 Zr 0.250 0.750 0.500 1
Fe1 Fe 0.750 0.250 0.500 1
Mg2 Mg 0.000 0.000 0.000 1
# Energy of formation = 0.22 eV/atom